Run A
Here is a crystal of AlInSi2 relaxed with PBEsol from Alexandria. Energies are from meta-GGA SCAN.

Calculated values
Size of the total moment: 0.0 μB per formula unit

```
data_AlInSi2
_chemical_formula_sum 'Al1 In1 Si2'
_symmetry_space_group_name_H-M 'P 4 m m'
_symmetry_Int_Tables_number 99
_symmetry_space_group_name_Hall 'P 4 -2'
_cell_length_a 3.236
_cell_length_b 3.236
_cell_length_c 6.891
_cell_angle_alpha 90.00
_cell_angle_beta 90.00
_cell_angle_gamma 90.00
loop_
_atom_site_label
_atom_site_fract_x
_atom_site_fract_y
_atom_site_fract_z
Al1 0.000 0.000 0.000
In1 0.500 0.500 0.307
Si1 0.000 0.000 0.616
Si2 0.500 0.500 0.778
```



Run B
Here is a crystal of AlInSi2 relaxed with PBEsol from Alexandria. Energies are from meta-GGA SCAN.

Calculated values
Size of the total moment: 0.0 μB per formula unit

```
data_AlInSi2
_chemical_formula_sum 'Al1 In1 Si2'
_symmetry_space_group_name_H-M 'P m m 2'
_symmetry_Int_Tables_number 25
_symmetry_space_group_name_Hall 'P 2 -2'
_cell_length_a 2.777
_cell_length_b 3.597
_cell_length_c 7.399
_cell_angle_alpha 90.00
_cell_angle_beta 90.00
_cell_angle_gamma 90.00
loop_
_atom_site_label
_atom_site_fract_x
_atom_site_fract_y
_atom_site_fract_z
Al1 0.000 0.000 0.000
In1 0.500 0.500 0.285
Si1 0.500 0.000 0.583
Si2 0.500 0.500 0.806
```



Run C
Here is a crystal of AlInSi2 relaxed with PBEsol from Alexandria. Energies are from meta-GGA SCAN.

Calculated values
Size of the total moment: 0.0 μB per formula unit

```
data_AlInSi2
_chemical_formula_sum 'Al2 In2 Si4'
_symmetry_space_group_name_H-M 'C m m m'
_symmetry_Int_Tables_number 65
_symmetry_space_group_name_Hall '-C 2 2'
_cell_length_a 5.791
_cell_length_b 6.747
_cell_length_c 3.642
_cell_angle_alpha 90.00
_cell_angle_beta 90.00
_cell_angle_gamma 90.00
loop_
_atom_site_label
_atom_site_fract_x
_atom_site_fract_y
_atom_site_fract_z
Al1 0.000 0.000 0.000
In1 0.000 0.500 0.000
Si1 0.250 0.250 0.500
```



Least stable structure among those shown: run C.